The following is a GGA+U calculation of a relaxed NaTiMnO4 crystal, from the Alexandria database.

Properties
space group	Imma
E_tot	-7.4257	eV per atom
ρ	3.76	g cm⁻³
crystal system	orthorhombic
magnetization	8.00	μB per cell

Cell lengths 6.494, 6.126, 6.200 Å; angles 120.40, 90.00, 122.01 degrees
Element x y z (fractional)
Na  0.887  0.774  0.137
Na  0.113  0.226  0.863
Ti  0.500  0.000  0.500
Ti  0.500  0.000  0.000
Mn  0.500  0.500  0.500
Mn  0.000  0.500  0.500
O  0.730  0.460  0.700
O  0.312  0.032  0.266
O  0.720  0.032  0.266
O  0.730  0.460  0.260
O  0.270  0.540  0.740
O  0.688  0.968  0.734
O  0.280  0.968  0.734
O  0.270  0.540  0.300